Record 1
# PBE Tb2Zn6Cd, optimized geometry
# E_form: -27 kJ per mole of atoms
# M_tot: 0.000 μB per formula unit
# uncorrected energy: -20.31 eV/cell
data_Tb2Zn6Cd
_chemical_formula_sum 'Tb2 Zn6 Cd1'
_space_group_name_H-M_alt 'P 1'
_space_group_IT_number 1
_space_group_name_Hall 'P 1'
_cell_length_a 5.9410
_cell_length_b 5.7804
_cell_length_c 5.7810
_cell_angle_alpha 120.00
_cell_angle_beta 90.00
_cell_angle_gamma 90.00
loop_
_atom_site_label
_atom_site_type_symbol
_atom_site_fract_x
_atom_site_fract_y
_atom_site_fract_z
_atom_site_occupancy
Tb1 Tb 0.8513 0.6667 0.3333 1
Tb2 Tb 0.1487 0.3333 0.6667 1
Zn1 Zn 0.3452 0.3614 0.1807 1
Zn2 Zn 0.3452 0.8193 0.6385 1
Zn3 Zn 0.3452 0.8193 0.1807 1
Zn4 Zn 0.6548 0.6386 0.8193 1
Zn5 Zn 0.6548 0.1807 0.3615 1
Zn6 Zn 0.6548 0.1807 0.8193 1
Cd1 Cd 0.0000 0.0000 0.0000 1

=====

Record 2
# PBE Sb3P, optimized geometry
# relative energy among the computed polymorphs: 344 meV/atom
# M_tot: 0.000 μB per formula unit
# uncorrected energy: -15.97 eV/cell
# uncorrected formation energy: 1.806 eV/f.u.
data_Sb3P
_chemical_formula_sum 'Sb3 P1'
_space_group_name_H-M_alt 'P 1'
_space_group_IT_number 1
_space_group_name_Hall 'P 1'
_cell_length_a 5.9464
_cell_length_b 5.9464
_cell_length_c 5.9464
_cell_angle_alpha 116.70
_cell_angle_beta 116.70
_cell_angle_gamma 116.70
loop_
_atom_site_label
_atom_site_type_symbol
_atom_site_fract_x
_atom_site_fract_y
_atom_site_fract_z
_atom_site_occupancy
Sb1 Sb 0.0000 0.5000 0.5000 1
Sb2 Sb 0.5000 0.5000 0.0000 1
Sb3 Sb 0.5000 0.0000 0.5000 1
P1 P 0.0000 0.0000 0.0000 1

=====

Record 3
# PBE ScSbIr2, optimized geometry
# M_tot: 0.000 μB per formula unit
# uncorrected energy: -29.94 eV/cell
# uncorrected formation energy: -1.769 eV/f.u.
data_ScSbIr2
_chemical_formula_sum 'Sc1 Sb1 Ir2'
_space_group_name_H-M_alt 'P 1'
_space_group_IT_number 1
_space_group_name_Hall 'P 1'
_cell_length_a 3.9378
_cell_length_b 3.6178
_cell_length_c 5.5167
_cell_angle_alpha 70.87
_cell_angle_beta 90.00
_cell_angle_gamma 90.00
loop_
_atom_site_label
_atom_site_type_symbol
_atom_site_fract_x
_atom_site_fract_y
_atom_site_fract_z
_atom_site_occupancy
Ir1 Ir 0.0000 0.2195 0.9362 1
Ir2 Ir 0.5000 0.0398 0.2954 1
Sb1 Sb 0.0000 0.4708 0.4333 1
Sc1 Sc 0.5000 0.7699 0.8352 1

=====

Record 4
# PBE LiPmSn2Au4, optimized geometry
# E_form: -52 kJ per mole of atoms
# M_tot: 0.000 μB per formula unit
# uncorrected energy: -32.06 eV/cell
data_LiPmSn2Au4
_chemical_formula_sum 'Li1 Pm1 Sn2 Au4'
_space_group_name_H-M_alt 'P 1'
_space_group_IT_number 1
_space_group_name_Hall 'P 1'
_cell_length_a 4.6951
_cell_length_b 4.6951
_cell_length_c 9.2002
_cell_angle_alpha 75.22
_cell_angle_beta 75.22
_cell_angle_gamma 60.00
loop_
_atom_site_label
_atom_site_type_symbol
_atom_site_fract_x
_atom_site_fract_y
_atom_site_fract_z
_atom_site_occupancy
Li1 Li 0.5000 0.5000 0.5000 1
Pm1 Pm 0.0000 0.0000 0.0000 1
Sn1 Sn 0.7563 0.7563 0.7310 1
Sn2 Sn 0.2437 0.2437 0.2690 1
Au1 Au 0.3908 0.3908 0.8276 1
Au2 Au 0.8641 0.8641 0.4078 1
Au3 Au 0.1359 0.1359 0.5922 1
Au4 Au 0.6092 0.6092 0.1724 1

=====

Record 5
# PBE Tl2SiRu, optimized geometry
# relative energy among the computed polymorphs: 0 meV/atom
# M_tot: 0.000 μB per formula unit
# uncorrected energy: -19.26 eV/cell
# uncorrected formation energy: 0.170 eV/f.u.
data_Tl2SiRu
_chemical_formula_sum 'Tl2 Si1 Ru1'
_space_group_name_H-M_alt 'P 1'
_space_group_IT_number 1
_space_group_name_Hall 'P 1'
_cell_length_a 3.1384
_cell_length_b 3.1384
_cell_length_c 8.8450
_cell_angle_alpha 90.00
_cell_angle_beta 90.00
_cell_angle_gamma 90.00
loop_
_atom_site_label
_atom_site_type_symbol
_atom_site_fract_x
_atom_site_fract_y
_atom_site_fract_z
_atom_site_occupancy
Ru1 Ru 0.0000 0.0000 0.5646 1
Si1 Si 0.5000 0.5000 0.6782 1
Tl1 Tl 0.0000 0.0000 0.9458 1
Tl2 Tl 0.5000 0.5000 0.3113 1

=====

Record 6
# PBE K2ScCdF6, optimized geometry
# M_tot: 0.908 μB per formula unit
# uncorrected energy: -99.89 eV/cell
# uncorrected formation energy: -29.274 eV/f.u.
data_K2ScCdF6
_chemical_formula_sum 'K4 Sc2 Cd2 F12'
_space_group_name_H-M_alt 'P 1'
_space_group_IT_number 1
_space_group_name_Hall 'P 1'
_cell_length_a 6.1915
_cell_length_b 6.7227
_cell_length_c 8.9446
_cell_angle_alpha 90.00
_cell_angle_beta 90.00
_cell_angle_gamma 90.00
loop_
_atom_site_label
_atom_site_type_symbol
_atom_site_fract_x
_atom_site_fract_y
_atom_site_fract_z
_atom_site_occupancy
K1 K 0.5000 0.7916 0.2270 1
K2 K 0.0000 0.2084 0.7270 1
K3 K 0.5000 0.7916 0.7730 1
K4 K 0.0000 0.2084 0.2730 1
Sc1 Sc 0.5000 0.2112 0.5000 1
Sc2 Sc 0.0000 0.7888 0.0000 1
Cd1 Cd 0.0000 0.7133 0.5000 1
Cd2 Cd 0.5000 0.2867 0.0000 1
F1 F 0.5000 0.1958 0.2724 1
F2 F 0.5000 0.1958 0.7276 1
F3 F 0.0000 0.8042 0.2276 1
F4 F 0.0000 0.8042 0.7724 1
F5 F 0.2700 0.9902 0.5000 1
F6 F 0.7300 0.9902 0.5000 1
F7 F 0.2564 0.4102 0.5000 1
F8 F 0.7436 0.4102 0.5000 1
F9 F 0.7564 0.5898 0.0000 1
F10 F 0.2436 0.5898 0.0000 1
F11 F 0.2300 0.0098 0.0000 1
F12 F 0.7700 0.0098 0.0000 1

=====

Record 7
# PBE PmPrCu2Ge2, optimized geometry
# E_form: -64 kJ per mole of atoms
# M_tot: 0.000 μB per formula unit
# uncorrected energy: -30.92 eV/cell
data_PmPrCu2Ge2
_chemical_formula_sum 'Pm1 Pr1 Cu2 Ge2'
_space_group_name_H-M_alt 'P 1'
_space_group_IT_number 1
_space_group_name_Hall 'P 1'
_cell_length_a 4.3076
_cell_length_b 4.3076
_cell_length_c 7.8292
_cell_angle_alpha 90.00
_cell_angle_beta 90.00
_cell_angle_gamma 120.00
loop_
_atom_site_label
_atom_site_type_symbol
_atom_site_fract_x
_atom_site_fract_y
_atom_site_fract_z
_atom_site_occupancy
Pm1 Pm 0.0000 0.0000 0.5000 1
Pr1 Pr 0.0000 0.0000 0.0000 1
Cu1 Cu 0.3333 0.6667 0.7424 1
Cu2 Cu 0.6667 0.3333 0.2576 1
Ge1 Ge 0.3333 0.6667 0.2546 1
Ge2 Ge 0.6667 0.3333 0.7454 1

=====

Record 8
# PBE AcNdRuO6, optimized geometry
# M_tot: 2.004 μB per formula unit
# uncorrected energy: -67.60 eV/cell
# uncorrected formation energy: -19.701 eV/f.u.
data_AcNdRuO6
_chemical_formula_sum 'Ac1 Nd1 Ru1 O6'
_space_group_name_H-M_alt 'P 1'
_space_group_IT_number 1
_space_group_name_Hall 'P 1'
_cell_length_a 5.6854
_cell_length_b 5.6854
_cell_length_c 5.2076
_cell_angle_alpha 90.00
_cell_angle_beta 90.00
_cell_angle_gamma 60.00
loop_
_atom_site_label
_atom_site_type_symbol
_atom_site_fract_x
_atom_site_fract_y
_atom_site_fract_z
_atom_site_occupancy
Ac1 Ac 0.0000 0.0000 0.0000 1
Nd1 Nd 0.6666 0.6667 0.5000 1
Ru1 Ru 0.3333 0.3333 0.5000 1
O1 O 0.0515 0.3325 0.2853 1
O2 O 0.3325 0.0515 0.7147 1
O3 O 0.6159 0.3326 0.7147 1
O4 O 0.0514 0.6160 0.7147 1
O5 O 0.3325 0.6159 0.2852 1
O6 O 0.6160 0.0515 0.2853 1

=====

Record 9
# PBE Pa3Tl3PdSe8, optimized geometry
# M_tot: 2.719 μB per formula unit
# uncorrected energy: -82.21 eV/cell
# uncorrected formation energy: -13.552 eV/f.u.
data_Pa3Tl3PdSe8
_chemical_formula_sum 'Pa3 Tl3 Pd1 Se8'
_space_group_name_H-M_alt 'P 1'
_space_group_IT_number 1
_space_group_name_Hall 'P 1'
_cell_length_a 8.3239
_cell_length_b 8.0875
_cell_length_c 9.1071
_cell_angle_alpha 114.97
_cell_angle_beta 90.00
_cell_angle_gamma 120.97
loop_
_atom_site_label
_atom_site_type_symbol
_atom_site_fract_x
_atom_site_fract_y
_atom_site_fract_z
_atom_site_occupancy
Pa1 Pa 0.5000 0.0000 0.5000 1
Pa2 Pa 0.5000 0.5000 0.5000 1
Pa3 Pa 0.0000 0.5000 0.5000 1
Tl1 Tl 0.0000 0.0000 0.0000 1
Tl2 Tl 0.0000 0.5000 0.0000 1
Tl3 Tl 0.5000 0.5000 0.0000 1
Pd1 Pd 0.0000 0.0000 0.5000 1
Se1 Se 0.2623 0.5247 0.2897 1
Se2 Se 0.7377 0.4753 0.7103 1
Se3 Se 0.7795 0.5589 0.3117 1
Se4 Se 0.2205 0.4411 0.6883 1
Se5 Se 0.7557 0.0386 0.2931 1
Se6 Se 0.2443 0.9614 0.7069 1
Se7 Se 0.2830 0.0386 0.2931 1
Se8 Se 0.7170 0.9614 0.7069 1

=====

Record 10
# PBE CaBe3, optimized geometry
# relative energy among the computed polymorphs: 2320 meV/atom
# E_form: 230 kJ per mole of atoms
# M_tot: 0.000 μB per formula unit
# uncorrected energy: -3.66 eV/cell
data_CaBe3
_chemical_formula_sum 'Ca1 Be3'
_space_group_name_H-M_alt 'P 1'
_space_group_IT_number 1
_space_group_name_Hall 'P 1'
_cell_length_a 5.9033
_cell_length_b 5.9033
_cell_length_c 5.9033
_cell_angle_alpha 90.00
_cell_angle_beta 90.00
_cell_angle_gamma 90.00
loop_
_atom_site_label
_atom_site_type_symbol
_atom_site_fract_x
_atom_site_fract_y
_atom_site_fract_z
_atom_site_occupancy
Be1 Be 0.5000 0.0000 0.0000 1
Be2 Be 0.0000 0.5000 0.0000 1
Be3 Be 0.0000 0.0000 0.5000 1
Ca1 Ca 0.0000 0.0000 0.0000 1

=====

Record 11
# PBE MnCoPCl2, optimized geometry
# relative energy among the computed polymorphs: 403 meV/atom
# M_tot: 2.136 μB per formula unit
# uncorrected energy: -21.96 eV/cell
# uncorrected formation energy: 3.419 eV/f.u.
data_MnCoPCl2
_chemical_formula_sum 'Mn1 Co1 P1 Cl2'
_space_group_name_H-M_alt 'P 1'
_space_group_IT_number 1
_space_group_name_Hall 'P 1'
_cell_length_a 4.7079
_cell_length_b 4.7079
_cell_length_c 4.3459
_cell_angle_alpha 90.00
_cell_angle_beta 90.00
_cell_angle_gamma 90.00
loop_
_atom_site_label
_atom_site_type_symbol
_atom_site_fract_x
_atom_site_fract_y
_atom_site_fract_z
_atom_site_occupancy
P1 P 0.0000 0.0000 0.5000 1
Mn1 Mn 0.0000 0.0000 0.0000 1
Co1 Co 0.5000 0.5000 0.5000 1
Cl1 Cl 0.0000 0.5000 0.0000 1
Cl2 Cl 0.5000 0.0000 0.0000 1

=====

Record 12
# PBE Nd6CdSn, optimized geometry
# E_form: -27 kJ per mole of atoms
# M_tot: 0.003 μB per formula unit
# uncorrected energy: -35.76 eV/cell
data_Nd6CdSn
_chemical_formula_sum 'Nd6 Cd1 Sn1'
_space_group_name_H-M_alt 'P 1'
_space_group_IT_number 1
_space_group_name_Hall 'P 1'
_cell_length_a 4.9826
_cell_length_b 4.9826
_cell_length_c 9.8930
_cell_angle_alpha 90.00
_cell_angle_beta 90.00
_cell_angle_gamma 90.00
loop_
_atom_site_label
_atom_site_type_symbol
_atom_site_fract_x
_atom_site_fract_y
_atom_site_fract_z
_atom_site_occupancy
Nd1 Nd 0.5000 0.5000 0.0000 1
Nd2 Nd 0.5000 0.5000 0.5000 1
Nd3 Nd 0.5000 0.0000 0.2529 1
Nd4 Nd 0.5000 0.0000 0.7471 1
Nd5 Nd 0.0000 0.5000 0.2529 1
Nd6 Nd 0.0000 0.5000 0.7471 1
Cd1 Cd 0.0000 0.0000 0.0000 1
Sn1 Sn 0.0000 0.0000 0.5000 1

=====

Record 13
# PBE U4As3S, optimized geometry
# M_tot: 0.305 μB per formula unit
# uncorrected energy: -69.66 eV/cell
# uncorrected formation energy: -6.430 eV/f.u.
data_U4As3S
_chemical_formula_sum 'U4 As3 S1'
_space_group_name_H-M_alt 'P 1'
_space_group_IT_number 1
_space_group_name_Hall 'P 1'
_cell_length_a 3.8251
_cell_length_b 3.8251
_cell_length_c 14.4940
_cell_angle_alpha 90.00
_cell_angle_beta 90.00
_cell_angle_gamma 120.00
loop_
_atom_site_label
_atom_site_type_symbol
_atom_site_fract_x
_atom_site_fract_y
_atom_site_fract_z
_atom_site_occupancy
As1 As 0.0000 0.0000 0.5000 1
As2 As 0.0000 0.0000 0.2439 1
As3 As 0.0000 0.0000 0.7561 1
U1 U 0.3333 0.6667 0.8843 1
U2 U 0.3333 0.6667 0.3715 1
U3 U 0.6667 0.3333 0.1157 1
U4 U 0.6667 0.3333 0.6285 1
S1 S 0.0000 0.0000 0.0000 1

=====

Record 14
# PBE LiCa3H, optimized geometry
# relative energy among the computed polymorphs: 0 meV/atom
# M_tot: 0.000 μB per formula unit
# uncorrected energy: -11.77 eV/cell
data_LiCa3H
_chemical_formula_sum 'Li1 Ca3 H1'
_space_group_name_H-M_alt 'P 1'
_space_group_IT_number 1
_space_group_name_Hall 'P 1'
_cell_length_a 5.1812
_cell_length_b 5.1812
_cell_length_c 5.1812
_cell_angle_alpha 90.00
_cell_angle_beta 90.00
_cell_angle_gamma 90.00
loop_
_atom_site_label
_atom_site_type_symbol
_atom_site_fract_x
_atom_site_fract_y
_atom_site_fract_z
_atom_site_occupancy
H1 H 0.0000 0.0000 0.0000 1
Ca1 Ca 0.0000 0.5000 0.0000 1
Ca2 Ca 0.0000 0.0000 0.5000 1
Ca3 Ca 0.5000 0.0000 0.0000 1
Li1 Li 0.5000 0.5000 0.5000 1

=====

Record 15
# PBE Li3Eu, optimized geometry
# E_form: 13 kJ per mole of atoms
# M_tot: 8.370 μB per formula unit
# uncorrected energy: -15.47 eV/cell
data_Li3Eu
_chemical_formula_sum 'Li3 Eu1'
_space_group_name_H-M_alt 'P 1'
_space_group_IT_number 1
_space_group_name_Hall 'P 1'
_cell_length_a 4.8223
_cell_length_b 4.8223
_cell_length_c 4.8223
_cell_angle_alpha 90.00
_cell_angle_beta 90.00
_cell_angle_gamma 90.00
loop_
_atom_site_label
_atom_site_type_symbol
_atom_site_fract_x
_atom_site_fract_y
_atom_site_fract_z
_atom_site_occupancy
Eu1 Eu 0.0000 0.0000 0.0000 1
Li1 Li 0.0000 0.5000 0.5000 1
Li2 Li 0.5000 0.0000 0.5000 1
Li3 Li 0.5000 0.5000 0.0000 1

=====

Record 16
# PBE BaLiCu, optimized geometry
# relative energy among the computed polymorphs: 8 meV/atom
# E_form: 0 kJ per mole of atoms
# M_tot: 0.000 μB per formula unit
# uncorrected energy: -15.87 eV/cell
data_BaLiCu
_chemical_formula_sum 'Ba2 Li2 Cu2'
_space_group_name_H-M_alt 'P 1'
_space_group_IT_number 1
_space_group_name_Hall 'P 1'
_cell_length_a 4.4755
_cell_length_b 6.9685
_cell_length_c 6.3600
_cell_angle_alpha 72.17
_cell_angle_beta 69.40
_cell_angle_gamma 71.27
loop_
_atom_site_label
_atom_site_type_symbol
_atom_site_fract_x
_atom_site_fract_y
_atom_site_fract_z
_atom_site_occupancy
Ba1 Ba 0.5706 0.6892 0.1697 1
Ba2 Ba 0.4294 0.3108 0.8303 1
Li1 Li 0.2182 0.9136 0.6499 1
Li2 Li 0.7818 0.0864 0.3501 1
Cu1 Cu 0.1249 0.3303 0.4198 1
Cu2 Cu 0.8751 0.6697 0.5802 1

=====

Record 17
# PBE V8Ga2W, optimized geometry
# E_form: 12 kJ per mole of atoms
# M_tot: 0.000 μB per formula unit
# uncorrected energy: -90.57 eV/cell
data_V8Ga2W
_chemical_formula_sum 'V8 Ga2 W1'
_space_group_name_H-M_alt 'P 1'
_space_group_IT_number 1
_space_group_name_Hall 'P 1'
_cell_length_a 6.8194
_cell_length_b 5.4298
_cell_length_c 5.4298
_cell_angle_alpha 54.02
_cell_angle_beta 76.57
_cell_angle_gamma 76.57
loop_
_atom_site_label
_atom_site_type_symbol
_atom_site_fract_x
_atom_site_fract_y
_atom_site_fract_z
_atom_site_occupancy
V1 V 0.3335 0.3330 0.8362 1
V2 V 0.6665 0.1638 0.6670 1
V3 V 0.0297 0.7400 0.7400 1
V4 V 0.9703 0.2600 0.2600 1
V5 V 0.3335 0.8362 0.3330 1
V6 V 0.6665 0.6670 0.1638 1
V7 V 0.7730 0.6086 0.6086 1
V8 V 0.2270 0.3914 0.3914 1
Ga1 Ga 0.3830 0.8208 0.8208 1
Ga2 Ga 0.6170 0.1792 0.1792 1
W1 W 0.0000 0.0000 0.0000 1